DFT (GGA-PBE) results for a relaxed structure of RbBeIr2O.

Values from the calculation:
E: -0.1626 hartree per atom
DOS(E_F): 3.03 states/eV/cell
uncorrected formation energy: 1.050 eV per atom

a b c (Å): 4.270 4.419 4.270
angles (deg): 90.00 90.00 90.00
Atoms (fractional coordinates):
Ir: 0.000 0.000 0.500
Ir: 0.500 0.000 0.000
Rb: 0.500 0.500 0.500
Be: 0.000 0.500 0.000
O: 0.000 0.000 0.000

DFT (GGA-PBE) results for a relaxed structure of CaSnSe2F.

Values from the calculation:
E: -0.1729 hartree per atom
DOS(E_F): 2.11 states/eV/cell
uncorrected formation energy: -1.735 eV per atom

a b c (Å): 3.923 3.923 15.373
angles (deg): 90.00 90.00 90.00
Atoms (fractional coordinates):
Se: 0.500 0.000 0.324
Se: 0.000 0.500 0.676
Se: 0.500 0.000 0.891
Se: 0.000 0.500 0.109
Sn: 0.000 0.500 0.843
Sn: 0.500 0.000 0.157
F: 0.500 0.500 0.500
F: 0.000 0.000 0.500
Ca: 0.000 0.500 0.412
Ca: 0.500 0.000 0.588

DFT (GGA-PBE) results for a relaxed structure of LiGe2HCl.

Values from the calculation:
E: -0.1074 hartree per atom
DOS(E_F): 2.04 states/eV/cell

a b c (Å): 4.963 4.963 3.348
angles (deg): 90.00 90.00 90.00
Atoms (fractional coordinates):
Li: 0.000 0.000 0.000
Cl: 0.500 0.500 0.500
Ge: 0.500 0.000 0.000
Ge: 0.000 0.500 0.000
H: 0.000 0.000 0.500

DFT (GGA-PBE) results for a relaxed structure of TmPa2SiC4.

Values from the calculation:
E: -0.3108 hartree per atom
DOS(E_F): 4.18 states/eV/cell
uncorrected formation energy: -0.234 eV per atom

a b c (Å): 3.521 6.054 11.792
angles (deg): 90.00 90.00 106.90
Atoms (fractional coordinates):
C: 0.269 0.537 0.373
C: 0.269 0.537 0.127
C: 0.425 0.850 0.750
C: 0.000 0.000 0.500
C: 0.731 0.463 0.873
C: 0.731 0.463 0.627
C: 0.000 0.000 0.000
C: 0.575 0.150 0.250
Si: 0.834 0.669 0.750
Si: 0.166 0.331 0.250
Tm: 0.105 0.209 0.750
Tm: 0.895 0.791 0.250
Pa: 0.630 0.260 0.449
Pa: 0.630 0.260 0.051
Pa: 0.370 0.740 0.551
Pa: 0.370 0.740 0.949